Record 1
# KHfIr GGA-PBE relaxed
data_KHfIr
_chemical_formula_sum 'K4 Hf4 Ir4'
_symmetry_space_group_name_H-M 'F -4 3 m'
_symmetry_Int_Tables_number 216
_symmetry_space_group_name_Hall 'F -4 2 3'
_cell_length_a 6.512
_cell_length_b 6.512
_cell_length_c 6.512
_cell_angle_alpha 90.00
_cell_angle_beta 90.00
_cell_angle_gamma 90.00
loop_
_atom_site_label
_atom_site_type_symbol
_atom_site_fract_x
_atom_site_fract_y
_atom_site_fract_z
K1 K 0.000 0.000 0.000
Hf1 Hf 0.250 0.250 0.750
Ir1 Ir 0.250 0.250 0.250
# energy above the most stable polymorph in this dataset	1.276	eV per atom
# electronic total energy	-4.774	eV per atom

=====

Record 2
# TaCuAgAs GGA-PBE relaxed
data_TaCuAgAs
_chemical_formula_sum 'Ta4 Cu4 Ag4 As4'
_symmetry_space_group_name_H-M 'F -4 3 m'
_symmetry_Int_Tables_number 216
_symmetry_space_group_name_Hall 'F -4 2 3'
_cell_length_a 6.382
_cell_length_b 6.382
_cell_length_c 6.382
_cell_angle_alpha 90.00
_cell_angle_beta 90.00
_cell_angle_gamma 90.00
loop_
_atom_site_label
_atom_site_type_symbol
_atom_site_fract_x
_atom_site_fract_y
_atom_site_fract_z
Ta1 Ta 0.000 0.000 0.000
Cu1 Cu 0.000 0.000 0.500
Ag1 Ag 0.250 0.250 0.750
As1 As 0.250 0.250 0.250
# energy above the most stable polymorph in this dataset	0.000	eV per atom
# electronic total energy	-5.440	eV per atom

=====

Record 3
# Ni7W5 GGA-PBE relaxed
data_Ni7W5
_chemical_formula_sum 'Ni14 W10'
_symmetry_space_group_name_H-M 'P 63/m m c'
_symmetry_Int_Tables_number 194
_symmetry_space_group_name_Hall '-P 6c 2c'
_cell_length_a 4.9773
_cell_length_b 4.9773
_cell_length_c 15.3650
_cell_angle_alpha 90.00
_cell_angle_beta 90.00
_cell_angle_gamma 120.00
loop_
_atom_site_label
_atom_site_type_symbol
_atom_site_fract_x
_atom_site_fract_y
_atom_site_fract_z
Ni1 Ni 0.1582 0.3164 0.2500
Ni2 Ni 0.3333 0.6667 0.1345
Ni3 Ni 0.3333 0.6667 0.6564
W1 W 0.0000 0.0000 0.1024
W2 W 0.0000 0.5000 0.0000
# ΔE_f	329	meV per atom
# energy above the most stable polymorph in this dataset	0.000	eV per atom
# electronic total energy	-8.319	eV per atom

=====

- Which formula does entry 1 have?
  KHfIr

=====

- What is the formula in the third record?
  Ni7W5

=====

- The highest electronic total energy belongs to which entry?
  KHfIr